# Rb2TlCd10 (PBE-GGA, relaxed)
# Energy of formation from the pure elements (meV/atom): 23
data_Rb2TlCd10
_chemical_formula_sum 'Rb4 Tl2 Cd20'
_space_group_name_H-M_alt 'P b a m'
_space_group_IT_number 55
_cell_length_a 10.0756
_cell_length_b 12.6194
_cell_length_c 6.6720
_cell_angle_alpha 90.00
_cell_angle_beta 90.00
_cell_angle_gamma 90.00
loop_
_space_group_symop_operation_xyz
'x,y,z'
'-x,-y,-z'
'-x,-y,z'
'x,y,-z'
'x+1/2,-y+1/2,-z'
'-x+1/2,y+1/2,z'
'-x+1/2,y+1/2,-z'
'x+1/2,-y+1/2,z'
loop_
_atom_site_label
_atom_site_type_symbol
_atom_site_fract_x
_atom_site_fract_y
_atom_site_fract_z
_atom_site_occupancy
Rb1 Rb 0.2474 0.0535 0.0000 1
Tl1 Tl 0.0000 0.0000 0.5000 1
Cd1 Cd 0.0520 0.6153 0.5000 1
Cd2 Cd 0.0755 0.7995 0.2161 1
Cd3 Cd 0.1747 0.2028 0.5000 1
Cd4 Cd 0.2250 0.4287 0.5000 1

***

# ReNi2H (PBE-GGA, relaxed)
# E above lowest polymorph (eV/atom): 0.5559
data_ReNi2H
_chemical_formula_sum 'Re4 Ni8 H4'
_space_group_name_H-M_alt 'F m -3 m'
_space_group_IT_number 225
_space_group_name_Hall '-F 4 2 3'
_cell_length_a 5.6374
_cell_length_b 5.6374
_cell_length_c 5.6374
_cell_angle_alpha 90.00
_cell_angle_beta 90.00
_cell_angle_gamma 90.00
loop_
_atom_site_label
_atom_site_type_symbol
_atom_site_fract_x
_atom_site_fract_y
_atom_site_fract_z
_atom_site_occupancy
Re1 Re 0.0000 0.0000 0.0000 1
Ni1 Ni 0.2500 0.2500 0.2500 1
H1 H 0.0000 0.0000 0.5000 1

***

Number 1: total energy -1.01 eV/atom. Number 2: total energy -5.97 eV/atom.